DFT (PBE) results for SiH3N after structural relaxation.

Cell lengths 3.197, 3.197, 3.197 Å; angles 90.00, 90.00, 90.00 degrees
Atoms (fractional coordinates):
H: 0.000 0.500 0.000
H: 0.000 0.000 0.500
H: 0.500 0.000 0.000
Si: 0.500 0.500 0.500
N: 0.000 0.000 0.000

Output
The crystal system is cubic. The calculation puts the offset from the most stable computed form at 0.025 eV/atom.

DFT (PBE) results for SiHN2 after structural relaxation.

Cell lengths 4.666, 4.666, 4.666 Å; angles 35.60, 35.60, 35.60 degrees
Each line ends with the local moment (μB).
Atoms (fractional coordinates):
H: 0.000 0.000 0.000  0.01
Si: 0.500 0.500 0.500  -0.01
N: 0.904 0.904 0.904  0.19
N: 0.096 0.096 0.096  0.19

Output
The crystal system is trigonal. The calculation puts the offset from the most stable computed form at 0.000 eV/atom.

DFT (PBE) results for SiHN3 after structural relaxation.

Cell lengths 3.252, 3.252, 3.252 Å; angles 90.00, 90.00, 90.00 degrees
Atoms (fractional coordinates):
H: 0.000 0.000 0.000
Si: 0.500 0.500 0.500
N: 0.000 0.500 0.000
N: 0.000 0.000 0.500
N: 0.500 0.000 0.000

Output
The crystal system is cubic. The value obtained for the uncorrected energy is -4.432 eV/atom.

DFT (PBE) results for Si2SnHN after structural relaxation.

Cell lengths 5.329, 4.017, 5.329 Å; angles 90.00, 90.00, 90.00 degrees
Atoms (fractional coordinates):
H: 0.500 0.500 0.500
Si: 0.000 0.000 0.500
Si: 0.500 0.000 0.000
Sn: 0.000 0.000 0.000
N: 0.000 0.500 0.000

Output
The crystal system is tetragonal. The value obtained for the uncorrected energy is -3.438 eV/atom.

DFT (PBE) results for SiTeH2N after structural relaxation.

Cell lengths 3.959, 3.510, 3.959 Å; angles 90.00, 90.00, 90.00 degrees
Atoms (fractional coordinates):
H: 0.000 0.000 0.500
H: 0.500 0.000 0.000
Si: 0.000 0.500 0.000
Te: 0.500 0.500 0.500
N: 0.000 0.000 0.000

Output
The crystal system is tetragonal. The value obtained for the uncorrected energy is -3.780 eV/atom.

DFT (PBE) results for VSiHN2 after structural relaxation.

Cell lengths 3.848, 3.318, 3.848 Å; angles 90.00, 90.00, 90.00 degrees
Atoms (fractional coordinates):
H: 0.000 0.500 0.000
Si: 0.500 0.500 0.500
N: 0.000 0.000 0.500
N: 0.500 0.000 0.000
V: 0.000 0.000 0.000

Output
The crystal system is tetragonal. The value obtained for the uncorrected energy is -6.506 eV/atom.

DFT (PBE) results for Sm4HN3 after structural relaxation.

Cell lengths 3.582, 6.193, 6.193 Å; angles 71.58, 90.00, 90.00 degrees
Atoms (fractional coordinates):
Sm: 0.000 0.767 0.733
Sm: 0.500 0.755 0.255
Sm: 0.000 0.233 0.267
Sm: 0.500 0.245 0.745
H: 0.500 0.500 0.000
N: 0.500 0.000 0.500
N: 0.000 0.000 0.000
N: 0.000 0.500 0.500

Output
The crystal system is orthorhombic. The calculation puts the offset from the most stable computed form at 0.000 eV/atom.

DFT (PBE) results for Sm4HN3 after structural relaxation.

Cell lengths 5.067, 5.067, 5.067 Å; angles 90.00, 90.00, 90.00 degrees
Each line ends with the local moment (μB).
Atoms (fractional coordinates):
Sm: 0.500 0.000 0.000  0.13
Sm: 0.000 0.500 0.000  0.13
Sm: 0.000 0.000 0.500  0.13
Sm: 0.500 0.500 0.500  0.01
H: 0.000 0.000 0.000  0.00
N: 0.000 0.500 0.500  -0.01
N: 0.500 0.000 0.500  -0.01
N: 0.500 0.500 0.000  -0.01

Output
The crystal system is cubic. The calculation puts the offset from the most stable computed form at 0.114 eV/atom.

DFT (PBE) results for Sm2H3N after structural relaxation.

Cell lengths 5.474, 5.474, 5.474 Å; angles 89.99, 89.99, 90.01 degrees
Atoms (fractional coordinates):
Sm: 0.000 0.000 0.000
Sm: 0.500 0.000 0.500
Sm: 0.500 0.500 0.000
Sm: 0.000 0.500 0.500
H: 0.250 0.750 0.750
H: 0.750 0.250 0.750
H: 0.250 0.250 0.250
H: 0.250 0.750 0.250
H: 0.750 0.250 0.250
H: 0.750 0.750 0.750
N: 0.250 0.250 0.750
N: 0.750 0.750 0.250

Output
The crystal system is cubic. The value obtained for the uncorrected energy is -5.398 eV/atom.

DFT (PBE) results for Sm2HN after structural relaxation.

Cell lengths 3.550, 3.550, 6.409 Å; angles 73.92, 73.92, 60.00 degrees
Atoms (fractional coordinates):
Sm: 0.077 0.077 0.769
Sm: 0.261 0.261 0.217
H: 0.495 0.495 0.516
N: 0.667 0.667 0.999

Output
The crystal system is trigonal. The value obtained for the uncorrected energy is -6.167 eV/atom.

DFT (PBE) results for Sm2HN after structural relaxation.

Cell lengths 3.492, 6.173, 6.134 Å; angles 90.00, 90.00, 90.00 degrees
Atoms (fractional coordinates):
Sm: 0.250 0.495 0.234
Sm: 0.750 0.505 0.766
Sm: 0.750 0.995 0.766
Sm: 0.250 0.005 0.234
H: 0.250 0.250 0.606
H: 0.750 0.750 0.394
N: 0.750 0.250 0.066
N: 0.250 0.750 0.934

Output
The crystal system is orthorhombic. The value obtained for the uncorrected energy is -5.986 eV/atom.

DFT (PBE) results for Sm4H2N after structural relaxation.

Cell lengths 4.911, 4.911, 6.720 Å; angles 68.57, 68.57, 90.00 degrees
Atoms (fractional coordinates):
H: 0.582 0.582 0.835
H: 0.418 0.418 0.165
Sm: 0.780 0.780 0.439
Sm: 0.220 0.220 0.561
Sm: 0.000 0.500 0.000
Sm: 0.500 0.000 0.000
N: 0.000 0.000 0.000

Output
The crystal system is tetragonal. The value obtained for the uncorrected energy is -5.336 eV/atom.